First-principles (PBE) data for an optimized crystal structure of SrLi2NiH8, as listed in the Alexandria database.

```
12
Lattice="-1.050 2.533 -3.426 -3.159 -1.627 2.575 0.381 5.442 3.907" Properties=species:S:1:pos:R:3 pbc="T T T"
Sr 0.191 2.721 1.953
Li -1.705 1.830 -0.935
Li -2.123 4.517 3.990
Ni 0.000 0.000 0.000
H -2.698 5.749 2.266
H -0.511 5.278 2.709
H -1.056 6.595 0.928
H -1.130 0.599 0.789
H -3.317 1.070 0.346
H -2.772 -0.247 2.127
H -1.600 3.335 0.145
H -2.228 3.012 2.910
```

Results
space group	P-3m1



First-principles (PBE) data for an optimized crystal structure of Sr2LiNiH, as listed in the Alexandria database.

```
5
Lattice="5.486 0.000 0.000 0.000 5.486 0.000 0.000 0.000 3.719" Properties=species:S:1:pos:R:3 pbc="T T T"
Sr 0.000 2.743 0.000
Sr 2.743 0.000 0.000
Li 2.743 2.743 1.859
H 0.000 0.000 0.000
Ni 0.000 0.000 1.859
```

Results
energy relative to the lowest polymorph listed for this composition	0.016	eV/atom
space group	P4/mmm



Number 1: energy -3.481 eV/atom, total magnetic moment 0.0000 μB per atom, D(E_F) 0.01 states/eV per cell. Number 2: energy -2.911 eV/atom, total magnetic moment 0.0000 μB per atom, D(E_F) 2.79 states/eV per cell.